11
Lattice="-2.6685 5.3114 9.6813 2.6685 -5.3114 9.6813 2.6685 5.3114 -9.6813" Properties=species:S:1:pos:R:3 comment="K4Rb3Hg4, optimized geometry, DFT PBE-GGA" delta_e_f_ev_per_atom=-0.168 polymorph_energy_mev_per_atom=0 dos_at_fermi_per_ev_cell=4.5 pbc="T T T"
K 2.6685 -3.2325 6.4457
K 0.0000 2.0789 3.2356
K 2.6685 3.2325 6.4457
K 0.0000 8.5439 3.2356
Rb 2.6685 0.0000 0.0000
Rb 0.0000 0.0000 7.4548
Rb 0.0000 0.0000 11.9077
Hg 2.6685 0.0000 4.6048
Hg 0.0000 3.7336 0.0000
Hg 0.0000 6.8892 0.0000
Hg 0.0000 5.3114 5.0765

***

4
Lattice="3.2173 0.0000 0.0000 0.0000 3.2173 0.0000 0.0000 0.0000 7.3410" Properties=species:S:1:pos:R:3 comment="KZnCo2, optimized geometry, DFT PBE-GGA" delta_e_f_ev_per_atom=0.650 dos_at_fermi_per_ev_cell=4.7 pbc="T T T"
K 0.0000 0.0000 0.0000
Zn 0.0000 0.0000 3.6705
Co 1.6086 1.6086 2.5771
Co 1.6086 1.6086 4.7639